# ScCd8Hg4

A geometry-optimized ScCd8Hg4 structure (GGA-PBE, Alexandria).

Structure (extended XYZ):
```
13
Lattice="3.309 0.000 0.000 0.000 4.647 0.000 0.000 0.000 20.523" Properties=species:S:1:pos:R:3 pbc="T T T"
Sc 0.000 0.000 0.000
Cd 0.000 0.000 3.008
Cd 0.000 0.000 8.952
Cd 0.000 2.323 10.979
Cd 0.000 2.323 18.544
Cd 1.655 0.000 5.991
Cd 1.655 0.000 17.727
Cd 1.655 2.323 7.948
Cd 1.655 2.323 15.647
Hg 0.000 0.000 14.653
Hg 0.000 2.323 4.843
Hg 1.655 0.000 12.015
Hg 1.655 2.323 1.239
```

Results
- DOS at the Fermi energy (states/eV per atom) = 0.3560
- final energy (eV per cell) = -14.8
- SG = Pmm2 (25)
- crystal system = orthorhombic